# CrSi2Mo

An optimized crystal structure of CrSi2Mo (PBE, Alexandria).

The space group is C2/m.

Cell: 4.684 4.684 2.774 Å, 79.10 79.10 109.08°
Positions (direct):
Mo: 0.000 0.500 0.500
Cr: 0.500 0.000 0.500
Si: 0.000 0.000 0.000
Si: 0.500 0.500 0.000

---

# CrSiMo

An optimized crystal structure of CrSiMo (PBE, Alexandria).

The space group is F-43m.

Cell: 4.030 4.030 4.030 Å, 60.00 60.00 60.00°
Positions (direct):
Cr: 0.750 0.750 0.750
Mo: 0.000 0.000 0.000
Si: 0.500 0.500 0.500

---

# CrSi2Mo

An optimized crystal structure of CrSi2Mo (PBE, Alexandria).

The space group is Amm2.

Cell: 4.041 2.997 4.646 Å, 71.19 90.00 90.00°
Positions (direct):
Si: 0.500 0.036 0.302
Si: 0.000 0.211 0.953
Mo: 0.500 0.765 0.846
Cr: 0.000 0.488 0.399

---

# CrSi2Mo

An optimized crystal structure of CrSi2Mo (PBE, Alexandria).

The space group is Cm.

Cell: 4.611 4.611 4.265 Å, 75.02 75.02 37.47°
Positions (direct):
Si: 0.751 0.751 0.711
Si: 0.002 0.002 0.032
Mo: 0.256 0.256 0.206
Cr: 0.491 0.491 0.551

---

no.,E_form (uncorrected) (meV per atom)
1,-21
2,190
3,-232
4,-156